1.
Computed, not measured: a relaxed structure of ScOsN3 at the PBE level of DFT.

Structure (POSCAR):
```
ScOsN3
1.0
3.841 0.000 0.000
0.000 3.841 0.000
0.000 0.000 3.841
Sc Os N
1 1 3
Direct
0.000 0.000 0.000 Sc
0.500 0.500 0.500 Os
0.000 0.500 0.500 N
0.500 0.000 0.500 N
0.500 0.500 0.000 N
```

Summary:
Raw total energy ... -8.356 eV per atom
Formation energy without anion corrections ... 0.151 eV/atom
N(E_F) ... 2.047 states/eV per cell
Total magnetization ... 0.00 μB/atom


2.
Computed, not measured: a relaxed structure of ReSiSb at the PBE level of DFT.

Structure (POSCAR):
```
ReSiSb
1.0
3.136 0.000 0.000
0.000 3.136 0.000
0.000 0.000 11.653
Re Si Sb
2 2 2
Direct
0.000 0.000 0.000 Re
0.500 0.500 0.500 Re
0.000 0.000 0.603 Si
0.500 0.500 0.103 Si
0.000 0.000 0.341 Sb
0.500 0.500 0.841 Sb
```

Summary:
Raw total energy ... -7.007 eV per atom
Formation energy without anion corrections ... 0.324 eV/atom
N(E_F) ... 2.009 states/eV per cell
Total magnetization ... 0.00 μB/atom
Polymorph energy (0 for the lowest one) ... 0.0766 eV per atom


3.
Computed, not measured: a relaxed structure of Pr9Dy2Er at the PBE level of DFT.

Structure (POSCAR):
```
Pr9Dy2Er
1.0
5.184 0.000 0.000
0.000 5.184 0.000
0.000 0.000 15.558
Pr Dy Er
9 2 1
Direct
0.000 0.000 0.000 Pr
0.000 0.000 0.333 Pr
0.000 0.000 0.667 Pr
0.000 0.500 0.166 Pr
0.000 0.500 0.500 Pr
0.000 0.500 0.834 Pr
0.500 0.000 0.166 Pr
0.500 0.000 0.500 Pr
0.500 0.000 0.834 Pr
0.500 0.500 0.333 Dy
0.500 0.500 0.667 Dy
0.500 0.500 0.000 Er
```

Summary:
Formation enthalpy at 0 K ... 0.0143 eV/atom
Raw total energy ... -4.718 eV per atom
N(E_F) ... 19.906 states/eV per cell
Total magnetization ... 0.00 μB/atom


4.
Computed, not measured: a relaxed structure of UNiPb2S5 at the PBE level of DFT.

Structure (POSCAR):
```
UNiPb2S5
1.0
1.954 -8.598 0.000
1.954 8.598 0.000
0.000 0.000 12.693
U Ni Pb S
2 2 4 10
Direct
0.199 0.801 0.500 U
0.801 0.199 0.000 U
0.427 0.573 0.909 Ni
0.573 0.427 0.409 Ni
0.081 0.919 0.144 Pb
0.124 0.876 0.809 Pb
0.876 0.124 0.309 Pb
0.919 0.081 0.644 Pb
0.049 0.951 0.495 S
0.291 0.709 0.140 S
0.303 0.697 0.862 S
0.351 0.649 0.481 S
0.498 0.502 0.262 S
0.502 0.498 0.762 S
0.649 0.351 0.981 S
0.697 0.303 0.362 S
0.709 0.291 0.640 S
0.951 0.049 0.995 S
```

Summary:
Raw total energy ... -5.782 eV per atom
Formation energy without anion corrections ... -0.768 eV/atom
N(E_F) ... 10.384 states/eV per cell
Total magnetization ... 0.01 μB/atom


5.
Computed, not measured: a relaxed structure of CaCd7Cu5 at the PBE level of DFT.

Structure (POSCAR):
```
CaCd7Cu5
1.0
-2.666 4.721 4.783
2.666 -4.721 4.783
2.666 4.721 -4.783
Ca Cd Cu
1 7 5
Direct
0.000 0.000 0.000 Ca
0.194 0.489 0.704 Cd
0.320 0.978 0.342 Cd
0.329 0.329 0.000 Cd
0.636 0.978 0.658 Cd
0.649 0.649 0.000 Cd
0.763 0.263 0.500 Cd
0.785 0.489 0.296 Cd
0.211 0.711 0.500 Cu
0.474 0.484 0.491 Cu
0.474 0.983 0.991 Cu
0.993 0.484 0.009 Cu
0.993 0.983 0.509 Cu
```

Summary:
Formation enthalpy at 0 K ... -0.0694 eV/atom
Raw total energy ... -2.292 eV per atom
N(E_F) ... 5.141 states/eV per cell
Total magnetization ... 0.00 μB/atom


6.
Computed, not measured: a relaxed structure of KPu2ClO4 at the PBE level of DFT.

Structure (POSCAR):
```
KPu2ClO4
1.0
3.953 0.000 0.000
0.000 3.953 0.000
0.000 0.000 9.830
K Pu Cl O
1 2 1 4
Direct
0.000 0.000 0.000 K
0.500 0.500 0.276 Pu
0.500 0.500 0.724 Pu
0.000 0.000 0.500 Cl
0.000 0.500 0.200 O
0.000 0.500 0.800 O
0.500 0.000 0.200 O
0.500 0.000 0.800 O
```

Summary:
Raw total energy ... -8.804 eV per atom
Formation energy without anion corrections ... -2.374 eV/atom
N(E_F) ... 13.484 states/eV per cell
Total magnetization ... 1.00 μB/atom


7.
Computed, not measured: a relaxed structure of Sm2EuV at the PBE level of DFT.

Structure (POSCAR):
```
Sm2EuV
1.0
3.441 0.000 0.000
-1.721 2.980 0.000
0.000 0.000 35.808
Sm Eu V
6 3 3
Direct
0.000 0.000 0.079 Sm
0.000 0.000 0.921 Sm
0.333 0.667 0.588 Sm
0.333 0.667 0.745 Sm
0.667 0.333 0.255 Sm
0.667 0.333 0.412 Sm
0.000 0.000 0.500 Eu
0.333 0.667 0.167 Eu
0.667 0.333 0.833 Eu
0.000 0.000 0.000 V
0.333 0.667 0.667 V
0.667 0.333 0.333 V
```

Summary:
Formation enthalpy at 0 K ... 0.6903 eV/atom
Raw total energy ... -6.518 eV per atom
N(E_F) ... 16.911 states/eV per cell
Total magnetization ... 2.69 μB/atom


8.
Computed, not measured: a relaxed structure of Cu2NiOs at the PBE level of DFT.

Structure (POSCAR):
```
Cu2NiOs
1.0
2.513 0.000 0.000
0.000 4.330 0.000
-0.288 0.000 4.590
Cu Ni Os
2 1 1
Direct
0.198 0.000 0.254 Cu
0.802 0.000 0.746 Cu
0.000 0.500 0.500 Ni
0.500 0.500 0.000 Os
```

Summary:
Formation enthalpy at 0 K ... 0.2710 eV/atom
Raw total energy ... -6.030 eV per atom
N(E_F) ... 5.200 states/eV per cell
Total magnetization ... 0.08 μB/atom
Polymorph energy (0 for the lowest one) ... 0.1281 eV per atom


Q: Which value of total magnetization does entry 2 give?
A: 0.00 μB/atom


Q: What is the N(E_F) in the second record?
A: 2.009 states/eV per cell


Q: N(E_F) of number 7 (Sm2EuV)?
A: 16.911 states/eV per cell


Q: The highest N(E_F) belongs to which entry?
A: Pr9Dy2Er